## Pm2Y7Ho2 (PBE)

Data for Pm2Y7Ho2 after structural relaxation.

Output
As for the crystal system: monoclinic. The distance to the lowest polymorph of the same formula is 0 meV/atom. The value obtained for the total energy is -5.70 eV/atom. The calculation puts the calculated formation energy at 0.11 eV per atom. As for the space-group type: C2/m. The value obtained for the spin magnetization is 0.0 μB/f.u.

Cell lengths 8.727, 6.537, 6.537 Å; angles 93.44, 81.73, 81.73 degrees
Fractional positions:
Y (0.406, 0.850, 0.850)
Pm (0.500, 0.677, 0.323)
Ho (0.854, 0.395, 0.395)
Y (0.000, 0.000, 0.000)
Pm (0.500, 0.323, 0.677)
Y (0.206, 0.082, 0.446)
Ho (0.146, 0.605, 0.605)
Y (0.206, 0.446, 0.082)
Y (0.594, 0.150, 0.150)
Y (0.794, 0.554, 0.918)
Y (0.794, 0.918, 0.554)